A plane-wave DFT calculation with PBE was carried out for CaEr2Al after structural relaxation.

Energy relative to the elements, meV per atom: -78
Density, g/cm3: 6.07
Crystal system: tetragonal
Excess energy over the best structure of this formula in the dataset, eV per atom: 0.067
Symmetry: P4/mmm, No. 123

Cell: 4.6896 4.8418 4.8418 Å, 90.00 90.00 90.00°
Fractional positions:
Ca 0.5000 0.5000 0.5000
Al 0.5000 0.0000 0.0000
Er 0.0000 0.0000 0.5000
Er 0.0000 0.5000 0.0000